Compound: Pr4PRhBr2
Source: Alexandria via LeMat-Bulk
Functional: PBE
Structure: relaxed Values from VASP.

Results
- symmetry = P2/m (10)
- ΔE_f (raw) (kcal/mol of atoms) = -28.08

```
&SYSTEM
  ibrav = 0, nat = 8, ntyp = 4
/
ATOMIC_SPECIES
Pr 140.91 Pr.upf
P 30.97 P.upf
Rh 102.91 Rh.upf
Br 79.90 Br.upf
CELL_PARAMETERS angstrom
4.0897 0.0000 0.0000
0.0000 7.5720 0.2674
0.0000 -2.5271 7.3954
ATOMIC_POSITIONS angstrom
Pr 2.0448 1.2421 1.5779
Pr 2.0448 3.8028 6.0849
Pr 0.0000 0.0681 5.9967
Pr 0.0000 4.9768 1.6662
P 0.0000 0.0000 0.0000
Rh 2.0448 3.7860 0.1337
Br 2.0448 -1.2636 3.6977
Br 0.0000 2.5225 3.8314
```

=====

Compound: KTiAl
Source: Alexandria via LeMat-Bulk
Functional: PBE
Structure: relaxed Values from VASP.

Results
- symmetry = P1 (1)
- calculated formation energy (meV per atom) = 239

```
&SYSTEM
  ibrav = 0, nat = 6, ntyp = 3
/
ATOMIC_SPECIES
K 39.10 K.upf
Al 26.98 Al.upf
Ti 47.87 Ti.upf
CELL_PARAMETERS angstrom
4.4595 -0.0003 -0.0008
2.2295 3.8611 0.0071
-2.2024 1.1695 11.6174
ATOMIC_POSITIONS angstrom
K 4.9807 3.7034 6.4173
K 2.7230 2.5240 2.5401
Al 0.5201 1.1197 10.2838
Al 0.5197 3.6941 10.2857
Ti 2.7494 2.4087 9.1219
Ti 2.7496 2.4049 11.4474
```

=====

Compound: SiOsW2
Source: Alexandria via LeMat-Bulk
Functional: PBE
Structure: relaxed Values from VASP.

Results
- symmetry = Pm (6)
- ΔE_f (raw) (kcal/mol of atoms) = -0.32

```
&SYSTEM
  ibrav = 0, nat = 4, ntyp = 3
/
ATOMIC_SPECIES
Os 190.23 Os.upf
Si 28.09 Si.upf
W 183.84 W.upf
CELL_PARAMETERS angstrom
-2.2722 3.1561 -0.9587
-0.9928 0.0831 2.6267
3.4555 3.3042 2.6876
ATOMIC_POSITIONS angstrom
Os 1.0305 1.6951 3.1379
Si 0.9582 4.1541 3.0371
W 2.3838 3.2675 5.1068
W -0.4879 2.5078 1.0452
```

=====

Compound: SnPt3
Source: Alexandria via LeMat-Bulk
Functional: PBE
Structure: relaxed Values from VASP.

Results
- symmetry = Imm2 (44)
- calculated formation energy (meV per atom) = -222

```
&SYSTEM
  ibrav = 0, nat = 4, ntyp = 2
/
ATOMIC_SPECIES
Sn 118.71 Sn.upf
Pt 195.08 Pt.upf
CELL_PARAMETERS angstrom
2.9852 0.0000 0.0000
0.0000 4.8254 0.0000
-1.4926 -2.4127 4.7001
ATOMIC_POSITIONS angstrom
Sn 0.0000 4.7659 0.0000
Pt 0.0000 1.6803 2.4111
Pt 1.4926 2.3287 0.0000
Pt 1.4926 -0.7324 2.2891
```

=====

Compound: Li4MgTe
Source: Alexandria via LeMat-Bulk
Functional: PBE
Structure: relaxed Values from VASP.

Results
- symmetry = F-43m (216)
- ΔE_f (raw) (kcal/mol of atoms) = -3.88

```
&SYSTEM
  ibrav = 0, nat = 6, ntyp = 3
/
ATOMIC_SPECIES
Li 6.94 Li.upf
Mg 24.30 Mg.upf
Te 127.60 Te.upf
CELL_PARAMETERS angstrom
0.0000 3.9471 3.9471
3.9471 0.0000 3.9471
3.9471 3.9471 0.0000
ATOMIC_POSITIONS angstrom
Li 2.9657 4.9286 4.9286
Li 4.9286 4.9286 2.9657
Li 4.9286 2.9657 4.9286
Li 2.9657 2.9657 2.9657
Mg 5.9207 5.9207 5.9207
Te 0.0000 0.0000 0.0000
```

=====

Compound: MgH
Source: Alexandria via LeMat-Bulk
Functional: PBE
Structure: relaxed Values from VASP.

Results
- symmetry = Pm-3n (223)
- uncorrected energy (eV/atom) = -2.19

```
&SYSTEM
  ibrav = 0, nat = 12, ntyp = 2
/
ATOMIC_SPECIES
Mg 24.30 Mg.upf
H 1.01 H.upf
CELL_PARAMETERS angstrom
-4.3405 -0.2495 -3.6335
3.6240 -0.8583 -4.2702
-0.3624 -5.5951 0.8171
ATOMIC_POSITIONS angstrom
Mg 0.7269 -0.4915 -3.0435
Mg -1.4434 -0.6163 -4.8602
Mg -2.2608 -1.5235 -1.6125
Mg -2.4420 -4.3211 -1.2039
Mg 0.7248 -3.0121 -0.6590
Mg 2.5368 -3.4413 -2.7941
H -1.2663 -2.8599 -0.4998
H -3.4365 -2.9847 -2.3166
H 1.7214 -1.8279 -1.9308
H 1.5402 -4.6255 -1.5223
H -1.2642 -0.3393 -2.8843
H 0.5477 -0.7685 -5.0194
```

=====

Compound: KReSe2
Source: Alexandria via LeMat-Bulk
Functional: PBE
Structure: relaxed Values from VASP.

Results
- symmetry = I-42d (122)
- ΔE_f (raw) (kcal/mol of atoms) = -5.06

```
&SYSTEM
  ibrav = 0, nat = 8, ntyp = 3
/
ATOMIC_SPECIES
Re 186.21 Re.upf
K 39.10 K.upf
Se 78.96 Se.upf
CELL_PARAMETERS angstrom
7.5415 0.0000 0.0000
0.0000 7.5415 0.0000
3.7708 3.7708 4.0167
ATOMIC_POSITIONS angstrom
Re 0.0000 0.0000 0.0000
Re 7.5415 3.7708 2.0083
K 3.7708 3.7708 0.0000
K 3.7708 7.5415 2.0083
Se 6.4444 1.8854 1.0042
Se 1.0971 5.6562 1.0042
Se 5.6562 4.8679 3.0125
Se 9.4269 10.2152 3.0125
```

=====

Compound: KAs
Source: Alexandria via LeMat-Bulk
Functional: PBE
Structure: relaxed Values from VASP.

Results
- symmetry = R-3m (166)
- calculated formation energy (meV per atom) = 70

```
&SYSTEM
  ibrav = 0, nat = 2, ntyp = 2
/
ATOMIC_SPECIES
As 74.92 As.upf
K 39.10 K.upf
CELL_PARAMETERS angstrom
-3.8040 -3.8205 2.1158
-3.9729 -4.0165 -1.2754
-1.4632 -5.5897 0.3960
ATOMIC_POSITIONS angstrom
As 0.0000 0.0000 0.0000
K -4.6200 -6.7134 0.6182
```